Computed, not measured: a relaxed NdZn9Pd2 crystal at the PBE level of DFT.

The structure belongs to space group I4_1/amd (No. 141, origin choice 2); the cell edges are 10.628, 10.628 and 6.948 Å and the angles 90.00°, 90.00° and 90.00°. The distinct sites, in fractional coordinates, are Nd at (0.000, 0.250, 0.375), Zn at (0.000, 0.250, 0.875), Zn at (0.121, 0.044, 0.678) and Pd at (0.000, 0.000, 0.000).

For the magnetic moment, the calculation gives 0.000 μB/atom. Its formation energy from the elements is -4.50 eV/f.u. Its density of states at the Fermi level is 0.52 states/eV/atom. The polymorph energy (0 for the lowest one) comes out at 0 meV per atom.

Computed, not measured: a relaxed Nd2ZnPd crystal at the PBE level of DFT.

The structure belongs to space group P2_1/m (No. 11); the cell edges are 6.017, 4.650 and 7.795 Å and the angles 90.00°, 111.98° and 90.00°. The distinct sites, in fractional coordinates, are Nd at (0.186, 0.250, 0.418), Nd at (0.286, 0.750, 0.073), Zn at (0.370, 0.750, 0.706) and Pd at (0.158, 0.250, 0.790).

For the magnetic moment, the calculation gives 0.000 μB/atom. Its formation energy from the elements is -2.16 eV/f.u. Its density of states at the Fermi level is 0.80 states/eV/atom.

Computed, not measured: a relaxed Nd2Zn5Pd crystal at the PBE level of DFT.

The structure belongs to space group Cmcm (No. 63); the cell edges are 4.312, 16.418 and 9.076 Å and the angles 90.00°, 90.00° and 90.00°. The distinct sites, in fractional coordinates, are Nd at (0.000, 0.000, 0.000), Nd at (0.000, 0.192, 0.250), Zn at (0.000, 0.190, 0.609), Zn at (0.000, 0.349, 0.520), Zn at (0.000, 0.397, 0.250) and Pd at (0.000, 0.447, 0.750).

For the magnetic moment, the calculation gives 0.000 μB/atom. Its formation energy from the elements is -3.41 eV/f.u. Its density of states at the Fermi level is 0.63 states/eV/atom.

Computed, not measured: a relaxed Nd2ZnPd4 crystal at the PBE level of DFT.

The structure belongs to space group P2/m (No. 10); the cell edges are 4.897, 4.125 and 7.316 Å and the angles 90.00°, 91.19° and 90.00°. The distinct sites, in fractional coordinates, are Nd at (0.248, 0.000, 0.319), Zn at (0.500, 0.500, 0.000), Pd at (0.241, 0.000, 0.898) and Pd at (0.257, 0.500, 0.632).

For the magnetic moment, the calculation gives 0.000 μB/atom. Its formation energy from the elements is -4.28 eV/f.u. Its density of states at the Fermi level is 0.34 states/eV/atom. The polymorph energy (0 for the lowest one) comes out at 0 meV per atom.

Question: What is the magnetic moment in the fourth record?
Answer: 0.000 μB/atom

Question: Number 4 is which compound?
Answer: Nd2ZnPd4

Question: Which value of magnetic moment does entry 1 give?
Answer: 0.000 μB/atom